Entry 1:
A geometry-optimized Pt3AuC structure. Source: the Open Quantum Materials Database, functional PBE. Values from VASP.

Structure (Quantum ESPRESSO input):
```
&SYSTEM
  ibrav = 0, nat = 10, ntyp = 3
/
ATOMIC_SPECIES
Pt 195.08 Pt.upf
C 12.01 C.upf
Au 196.97 Au.upf
CELL_PARAMETERS angstrom
-4.798 -3.043 -0.614
-0.611 -3.358 -4.583
3.134 -2.802 3.527
ATOMIC_POSITIONS crystal
Pt 0.459 0.459 0.234
C 0.669 0.669 0.511
C 0.331 0.331 0.489
Pt 0.465 0.955 0.237
Au 0.043 0.043 0.772
Pt 0.955 0.465 0.237
Au 0.957 0.957 0.228
Pt 0.045 0.535 0.763
Pt 0.535 0.045 0.763
Pt 0.541 0.541 0.766
```

Results
- magnetization (μB/f.u.) = 0.00
- energy (eV per formula unit) = -29.0

---

Entry 2:
A geometry-optimized CdCl2 structure. Source: the Open Quantum Materials Database, functional PBE. Values from VASP.

Structure (Quantum ESPRESSO input):
```
&SYSTEM
  ibrav = 0, nat = 12, ntyp = 2
/
ATOMIC_SPECIES
Cl 35.45 Cl.upf
Cd 112.41 Cd.upf
CELL_PARAMETERS angstrom
-0.364 -7.090 -2.968
-6.594 -2.574 -3.015
-0.636 -0.958 -7.608
ATOMIC_POSITIONS crystal
Cl 0.880 0.880 0.880
Cl 0.370 0.370 0.890
Cd 0.625 0.125 0.125
Cl 0.880 0.360 0.880
Cl 0.360 0.880 0.880
Cd 0.125 0.125 0.625
Cd 0.125 0.625 0.125
Cl 0.370 0.370 0.370
Cl 0.890 0.370 0.370
Cd 0.125 0.125 0.125
Cl 0.880 0.880 0.360
Cl 0.370 0.890 0.370
```

Results
- energy (eV per formula unit) = -7.9